Record 1
This record from Alexandria describes an optimized crystal structure of Ca2Zr2Ir. The functional is PBE.

```
data_Ca2Zr2Ir
_chemical_formula_sum 'Ca4 Zr4 Ir2'
_space_group_name_H-M_alt 'I 4/m m m'
_space_group_IT_number 139
_space_group_name_Hall '-I 4 2'
_cell_length_a 3.879
_cell_length_b 3.879
_cell_length_c 16.374
_cell_angle_alpha 90.00
_cell_angle_beta 90.00
_cell_angle_gamma 90.00
loop_
_atom_site_label
_atom_site_fract_x
_atom_site_fract_y
_atom_site_fract_z
_atom_site_occupancy
Ca1 0.000 0.500 0.250 1
Zr1 0.000 0.000 0.078 1
Ir1 0.000 0.000 0.500 1
```

ΔH_f (0 K) = 0.7001 eV/atom
offset from the most stable computed form = 740 meV/atom
total energy = -52.92 eV/cell

=====

Record 2
This record from Alexandria describes an optimized crystal structure of CaZrIr. The functional is PBE.

```
data_CaZrIr
_chemical_formula_sum 'Ca1 Zr1 Ir1'
_space_group_name_H-M_alt 'P 3 m 1'
_space_group_IT_number 156
_cell_length_a 4.6884
_cell_length_b 4.6884
_cell_length_c 3.2592
_cell_angle_alpha 90.00
_cell_angle_beta 90.00
_cell_angle_gamma 120.00
loop_
_space_group_symop_operation_xyz
'x,y,z'
'-y,x-y,z'
'-x+y,-x,z'
'-y,-x,z'
'-x+y,y,z'
'x,x-y,z'
loop_
_atom_site_label
_atom_site_fract_x
_atom_site_fract_y
_atom_site_fract_z
_atom_site_occupancy
Ca1 0.0000 0.0000 0.0000 1
Zr1 0.6667 0.3333 0.5942 1
Ir1 0.3333 0.6667 0.3497 1
```

ΔH_f (0 K) = -0.0950 eV/atom
offset from the most stable computed form = 473 meV/atom
total energy = -19.70 eV/cell